Compound: ErMnNi2
Source: Alexandria
Functional: PBE-GGA
Structure: optimized geometry

mass density: 9.06 g cm⁻³
E above lowest polymorph: 0.083 eV per atom
E: -6.490 eV per atom
ΔH_f (0 K): -166 meV per atom

Cell: 4.449 4.449 4.449 Å, 60.00 60.00 60.00°
Positions (direct):
Er  0.500  0.500  0.500
Ni  0.750  0.750  0.750
Ni  0.250  0.250  0.250
Mn  0.000  0.000  0.000